[1]
The following is a PBEsol calculation of a relaxed Cd2InCoB crystal, from Alexandria via LeMat-Bulk. Values from VASP.

Structure (Quantum ESPRESSO input):
```
&SYSTEM
  ibrav = 0, nat = 5, ntyp = 4
/
ATOMIC_SPECIES
Cd 112.41 Cd.upf
In 114.82 In.upf
Co 58.93 Co.upf
B 10.81 B.upf
CELL_PARAMETERS angstrom
5.184 0.000 0.000
0.000 5.184 0.000
0.000 0.000 4.774
ATOMIC_POSITIONS angstrom
Cd 0.000 2.592 0.000
Cd 2.592 0.000 0.000
In 0.000 0.000 0.000
Co 0.000 0.000 2.387
B 2.592 2.592 2.387
```

Results
- ΔE_f: 177.35 kJ/mol of atoms
- M_tot: 1.36 μB/cell



[2]
The following is a PBEsol calculation of a relaxed CrCd3B crystal, from Alexandria via LeMat-Bulk. Values from VASP.

Structure (Quantum ESPRESSO input):
```
&SYSTEM
  ibrav = 0, nat = 5, ntyp = 3
/
ATOMIC_SPECIES
Cr 52.00 Cr.upf
Cd 112.41 Cd.upf
B 10.81 B.upf
CELL_PARAMETERS angstrom
4.502 0.000 0.000
0.000 4.502 0.000
0.000 0.000 4.502
ATOMIC_POSITIONS angstrom
Cr 0.000 0.000 0.000
Cd 0.000 2.251 2.251
Cd 2.251 0.000 2.251
Cd 2.251 2.251 0.000
B 2.251 2.251 2.251
```

Results
- ΔE_f: 79.48 kJ/mol of atoms
- M_tot: 4.74 μB/cell



[3]
The following is a PBEsol calculation of a relaxed Cr2CdB crystal, from Alexandria via LeMat-Bulk. Values from VASP.

Structure (Quantum ESPRESSO input):
```
&SYSTEM
  ibrav = 0, nat = 4, ntyp = 3
/
ATOMIC_SPECIES
Cr 52.00 Cr.upf
Cd 112.41 Cd.upf
B 10.81 B.upf
CELL_PARAMETERS angstrom
0.000 2.942 2.942
2.942 0.000 2.942
2.942 2.942 0.000
ATOMIC_POSITIONS angstrom
Cr 1.471 1.471 1.471
Cr 4.413 4.413 4.413
Cd 0.000 0.000 0.000
B 2.942 2.942 2.942
```

Results
- ΔE_f: 92.26 kJ/mol of atoms
- M_tot: 5.06 μB/cell



[4]
The following is a PBEsol calculation of a relaxed YCrCd2B crystal, from Alexandria via LeMat-Bulk. Values from VASP.

Structure (Quantum ESPRESSO input):
```
&SYSTEM
  ibrav = 0, nat = 5, ntyp = 4
/
ATOMIC_SPECIES
Y 88.91 Y.upf
Cr 52.00 Cr.upf
Cd 112.41 Cd.upf
B 10.81 B.upf
CELL_PARAMETERS angstrom
4.954 0.000 0.000
0.000 4.954 0.000
0.000 0.000 3.991
ATOMIC_POSITIONS angstrom
Y 0.000 0.000 0.000
Cr 2.477 2.477 1.996
Cd 0.000 2.477 1.996
Cd 2.477 0.000 1.996
B 2.477 2.477 0.000
```

Results
- ΔE_f: 54.32 kJ/mol of atoms
- M_tot: 0.00 μB/cell



[5]
The following is a PBEsol calculation of a relaxed CsCdB3 crystal, from Alexandria via LeMat-Bulk. Values from VASP.

Structure (Quantum ESPRESSO input):
```
&SYSTEM
  ibrav = 0, nat = 5, ntyp = 3
/
ATOMIC_SPECIES
Cs 132.91 Cs.upf
Cd 112.41 Cd.upf
B 10.81 B.upf
CELL_PARAMETERS angstrom
4.718 0.000 0.000
0.000 4.718 0.000
0.000 0.000 4.718
ATOMIC_POSITIONS angstrom
Cs 0.000 0.000 0.000
Cd 2.359 2.359 2.359
B 0.000 0.000 2.359
B 0.000 2.359 0.000
B 2.359 0.000 0.000
```

Results
- ΔE_f: 309.23 kJ/mol of atoms
- M_tot: 0.00 μB/cell



[6]
The following is a PBEsol calculation of a relaxed Cs2Cd3B16O28 crystal, from Alexandria via LeMat-Bulk. Values from VASP.

Structure (Quantum ESPRESSO input):
```
&SYSTEM
  ibrav = 0, nat = 98, ntyp = 4
/
ATOMIC_SPECIES
Cs 132.91 Cs.upf
Cd 112.41 Cd.upf
B 10.81 B.upf
O 16.00 O.upf
CELL_PARAMETERS angstrom
10.834 -3.863 0.000
10.834 3.863 0.000
-0.240 0.000 13.456
ATOMIC_POSITIONS angstrom
Cs 5.394 0.197 1.245
Cs 5.274 -0.197 7.973
Cs 16.154 0.197 5.483
Cs 16.034 -0.197 12.212
Cd 10.674 1.991 8.085
Cd 10.634 1.991 12.100
Cd 10.774 1.872 3.364
Cd 10.654 -1.872 10.092
Cd 10.794 -1.991 1.357
Cd 10.754 -1.991 5.372
B 8.948 3.162 1.084
B 9.097 3.229 5.566
B 1.987 0.588 3.465
B 3.847 0.283 11.378
B 12.450 3.229 1.162
B 1.867 -0.588 10.193
B 12.600 3.162 5.644
B 3.967 -0.283 4.650
B 6.537 0.147 11.316
B 8.617 0.623 10.085
B 8.755 0.619 5.573
B 6.657 -0.147 4.587
B 9.330 0.625 1.056
B 8.737 -0.623 3.356
B 12.218 0.625 5.672
B 8.635 -0.619 12.301
B 12.792 0.619 1.155
B 9.210 -0.625 7.784
B 12.691 0.623 10.100
B 12.098 -0.625 12.401
B 14.770 0.147 8.869
B 12.672 -0.619 7.884
B 12.811 -0.623 3.372
B 14.890 -0.147 2.141
B 17.461 0.283 8.807
B 8.828 -3.162 7.813
B 19.561 0.588 3.263
B 8.977 -3.229 12.295
B 17.581 -0.283 2.079
B 19.441 -0.588 9.992
B 12.330 -3.229 7.890
B 12.480 -3.162 12.372
O 1.124 0.375 11.040
O 1.362 0.423 6.539
O 1.640 0.444 2.016
O 3.101 0.837 12.385
O 1.244 -0.375 4.312
O 3.438 0.384 3.591
O 1.242 -0.423 13.267
O 1.520 -0.444 8.745
O 9.112 1.965 5.050
O 9.042 1.926 9.592
O 5.206 0.467 11.502
O 9.531 1.902 0.560
O 3.318 -0.384 10.319
O 3.221 -0.837 5.656
O 7.157 0.533 10.169
O 7.291 0.479 5.623
O 5.326 -0.467 4.773
O 12.016 1.902 6.168
O 12.435 1.965 1.678
O 12.266 1.926 10.593
O 9.222 0.459 2.413
O 9.264 0.464 6.952
O 9.243 0.346 11.390
O 7.171 -0.479 12.351
O 7.277 -0.533 3.440
O 9.363 -0.346 4.662
O 9.102 -0.459 9.141
O 9.384 -0.464 0.224
O 12.044 0.464 13.233
O 12.325 0.459 4.315
O 12.065 0.346 8.795
O 14.151 0.533 10.016
O 14.257 0.479 1.105
O 12.185 -0.346 2.067
O 12.164 -0.464 6.505
O 12.205 -0.459 11.044
O 9.162 -1.926 2.864
O 8.992 -1.965 11.778
O 9.411 -1.902 7.288
O 16.102 0.467 8.683
O 14.137 -0.479 7.834
O 14.271 -0.533 3.288
O 18.207 0.837 7.800
O 18.109 0.384 3.137
O 11.896 -1.902 12.896
O 16.222 -0.467 1.955
O 12.386 -1.926 3.864
O 12.315 -1.965 8.406
O 19.907 0.444 4.712
O 20.186 0.423 0.189
O 17.989 -0.384 9.865
O 20.184 0.375 9.145
O 18.327 -0.837 1.072
O 19.787 -0.444 11.440
O 20.066 -0.423 6.917
O 20.304 -0.375 2.417
```

Results
- Electronic total energy: -0.2837 Ha/atom
- M_tot: 0.00 μB/cell



[7]
The following is a PBEsol calculation of a relaxed CdCuB2 crystal, from Alexandria via LeMat-Bulk. Values from VASP.

Structure (Quantum ESPRESSO input):
```
&SYSTEM
  ibrav = 0, nat = 8, ntyp = 3
/
ATOMIC_SPECIES
Cd 112.41 Cd.upf
Cu 63.55 Cu.upf
B 10.81 B.upf
CELL_PARAMETERS angstrom
-1.814 1.814 7.287
1.814 -1.814 7.287
1.814 1.814 -7.287
ATOMIC_POSITIONS angstrom
Cd 1.814 0.907 1.822
Cd 0.000 0.907 5.466
Cu 1.814 -0.907 5.466
Cu 0.000 2.721 1.822
B 0.000 0.000 0.000
B 0.907 0.907 -3.644
B 0.907 -0.907 3.644
B 0.000 1.814 0.000
```

Results
- ΔE_f: 55.15 kJ/mol of atoms
- M_tot: 0.00 μB/cell



[8]
The following is a PBEsol calculation of a relaxed CdCuB2F crystal, from Alexandria via LeMat-Bulk. Values from VASP.

Structure (Quantum ESPRESSO input):
```
&SYSTEM
  ibrav = 0, nat = 5, ntyp = 4
/
ATOMIC_SPECIES
Cd 112.41 Cd.upf
Cu 63.55 Cu.upf
B 10.81 B.upf
F 19.00 F.upf
CELL_PARAMETERS angstrom
4.220 0.000 0.000
0.000 4.220 0.000
0.000 0.000 4.438
ATOMIC_POSITIONS angstrom
Cd 0.000 0.000 0.000
Cu 2.110 2.110 2.219
B 0.000 2.110 0.000
B 2.110 0.000 0.000
F 0.000 0.000 2.219
```

Results
- Electronic total energy: -0.1069 Ha/atom
- M_tot: 0.00 μB/cell